Entry from Alexandria via LeMat-Bulk: LiCrCdO4 after structural relaxation (PBE with a Hubbard U).

Computed properties:
symmetry	Imma, No. 74
DOS at the Fermi energy	0.130	states/eV per cell

CIF file:
```
data_LiCrCdO4
_cell_length_a 6.138
_cell_length_b 6.138
_cell_length_c 6.138
_cell_angle_alpha 120.29
_cell_angle_beta 114.76
_cell_angle_gamma 94.41
_symmetry_space_group_name_H-M 'P 1'
_symmetry_Int_Tables_number 1
loop_
_symmetry_equiv_pos_as_xyz
'x,y,z'
loop_
_atom_site_label
_atom_site_type_symbol
_atom_site_fract_x
_atom_site_fract_y
_atom_site_fract_z
_atom_site_occupancy
Li1 Li 0.500 0.000 0.000 1
Li2 Li 0.500 0.500 0.500 1
Cr1 Cr 0.138 0.388 0.750 1
Cr2 Cr 0.862 0.612 0.250 1
Cd1 Cd 0.000 0.000 0.000 1
Cd2 Cd 0.500 0.000 0.500 1
O1 O 0.189 0.720 0.469 1
O2 O 0.249 0.280 0.969 1
O3 O 0.262 0.272 0.510 1
O4 O 0.262 0.752 0.990 1
O5 O 0.738 0.248 0.010 1
O6 O 0.738 0.728 0.490 1
O7 O 0.751 0.720 0.031 1
O8 O 0.811 0.280 0.531 1
```

---

Entry from Alexandria via LeMat-Bulk: LiCr3Cd3O8 after structural relaxation (PBE with a Hubbard U).

Computed properties:
symmetry	R-3m, No. 166

CIF file:
```
data_LiCr3Cd3O8
_cell_length_a 6.361
_cell_length_b 6.361
_cell_length_c 6.361
_cell_angle_alpha 57.33
_cell_angle_beta 57.33
_cell_angle_gamma 57.33
_symmetry_space_group_name_H-M 'P 1'
_symmetry_Int_Tables_number 1
loop_
_symmetry_equiv_pos_as_xyz
'x,y,z'
loop_
_atom_site_label
_atom_site_type_symbol
_atom_site_fract_x
_atom_site_fract_y
_atom_site_fract_z
_atom_site_occupancy
Li1 Li 0.000 0.000 0.000 1
Cr1 Cr 0.000 0.500 0.500 1
Cr2 Cr 0.500 0.000 0.500 1
Cr3 Cr 0.500 0.500 0.000 1
Cd1 Cd 0.000 0.000 0.500 1
Cd2 Cd 0.000 0.500 0.000 1
Cd3 Cd 0.500 0.000 0.000 1
O1 O 0.238 0.238 0.730 1
O2 O 0.238 0.730 0.238 1
O3 O 0.268 0.268 0.268 1
O4 O 0.270 0.762 0.762 1
O5 O 0.730 0.238 0.238 1
O6 O 0.732 0.732 0.732 1
O7 O 0.762 0.270 0.762 1
O8 O 0.762 0.762 0.270 1
```

---

Entry from Alexandria via LeMat-Bulk: Li2CrCdO4 after structural relaxation (PBE with a Hubbard U).

Computed properties:
symmetry	I-42m, No. 121
DOS at the Fermi energy	0.000	states/eV per cell

CIF file:
```
data_Li2CrCdO4
_cell_length_a 4.819
_cell_length_b 4.819
_cell_length_c 8.412
_cell_angle_alpha 90.00
_cell_angle_beta 90.00
_cell_angle_gamma 90.00
_symmetry_space_group_name_H-M 'P 1'
_symmetry_Int_Tables_number 1
loop_
_symmetry_equiv_pos_as_xyz
'x,y,z'
loop_
_atom_site_label
_atom_site_type_symbol
_atom_site_fract_x
_atom_site_fract_y
_atom_site_fract_z
_atom_site_occupancy
Li1 Li 0.000 0.500 0.250 1
Li2 Li 0.000 0.500 0.750 1
Li3 Li 0.500 0.000 0.250 1
Li4 Li 0.500 0.000 0.750 1
Cr1 Cr 0.000 0.000 0.000 1
Cr2 Cr 0.500 0.500 0.500 1
Cd1 Cd 0.000 0.000 0.500 1
Cd2 Cd 0.500 0.500 0.000 1
O1 O 0.214 0.214 0.128 1
O2 O 0.214 0.786 0.872 1
O3 O 0.286 0.286 0.628 1
O4 O 0.286 0.714 0.372 1
O5 O 0.714 0.286 0.372 1
O6 O 0.714 0.714 0.628 1
O7 O 0.786 0.214 0.872 1
O8 O 0.786 0.786 0.128 1
```

---

Entry from Alexandria via LeMat-Bulk: LiCrCd2O4 after structural relaxation (PBE with a Hubbard U).

Computed properties:
symmetry	P2/m, No. 10

CIF file:
```
data_LiCrCd2O4
_cell_length_a 5.421
_cell_length_b 3.177
_cell_length_c 5.517
_cell_angle_alpha 90.00
_cell_angle_beta 107.16
_cell_angle_gamma 90.00
_symmetry_space_group_name_H-M 'P 1'
_symmetry_Int_Tables_number 1
loop_
_symmetry_equiv_pos_as_xyz
'x,y,z'
loop_
_atom_site_label
_atom_site_type_symbol
_atom_site_fract_x
_atom_site_fract_y
_atom_site_fract_z
_atom_site_occupancy
Li1 Li 0.000 0.000 0.000 1
Cr1 Cr 0.500 0.500 0.000 1
Cd1 Cd 0.000 0.500 0.500 1
Cd2 Cd 0.500 0.000 0.500 1
O1 O 0.255 0.500 0.228 1
O2 O 0.276 0.000 0.801 1
O3 O 0.724 0.000 0.199 1
O4 O 0.745 0.500 0.772 1
```

---

Number 1: VASP energy -79.58 eV for the cell shown. Number 2: VASP energy -88.47 eV for the cell shown. Number 3: VASP energy -90.24 eV for the cell shown. Number 4: VASP energy -42.28 eV for the cell shown.